1.
This record from Alexandria via LeMat-Bulk describes a relaxed structure of K3Sc3BiTe8. The functional is PBE.

Final energy: -0.163 Ha/atom
Symmetry: C2/m (12)
Uncorrected formation energy: -1.020 eV/atom

```
15
Lattice="8.5252 0.0000 0.0000 -4.2626 7.4357 -0.0447 0.0000 -4.9424 8.3942" Properties=species:S:1:pos:R:3 pbc="T T T"
K -2.1313 3.7178 -0.0223
Te 4.2626 0.0117 5.8475
Te -1.9887 3.6475 5.8716
K 2.1313 3.7178 -0.0223
Te 1.9887 3.6475 5.8716
Te 0.0000 2.4816 2.5020
Te 2.2739 -1.1541 2.4779
Sc 4.2626 -2.4712 4.1971
Te 4.2626 2.3168 2.4544
Te 0.0000 0.1765 5.8951
Sc -2.1313 1.2467 4.1748
Te 6.2513 -1.1541 2.4779
Sc 2.1313 1.2467 4.1748
Bi 0.0000 -2.4712 4.1971
K 0.0000 0.0000 0.0000
```


2.
This record from Alexandria via LeMat-Bulk describes a relaxed structure of LaNd5Pb5. The functional is PBE.

Final energy: -0.171 Ha/atom
Energy relative to the elements: -0.3403 eV/atom
Symmetry: C2/m (12)

```
11
Lattice="6.4700 0.0000 0.0000 -3.2350 7.3101 0.0173 0.0000 -2.7186 8.5246" Properties=species:S:1:pos:R:3 pbc="T T T"
Nd 3.2350 1.4858 2.8648
Nd 0.0000 3.1057 5.6770
Nd 0.0000 4.3913 1.4172
Pb 0.0000 0.1918 7.0428
Nd 3.2350 0.2002 7.1247
Pb 3.2350 4.3997 1.4991
Nd 0.0000 -1.3593 4.2623
Pb 3.2350 0.0000 0.0000
Pb 0.0000 1.5115 2.8929
Pb 3.2350 3.0800 5.6490
La 0.0000 0.0000 0.0000
```


3.
This record from Alexandria via LeMat-Bulk describes a relaxed structure of SrAcPdO4. The functional is PBE.

Final energy: -0.240 Ha/atom
Symmetry: I4mm (107)
Uncorrected formation energy: -2.127 eV/atom

```
7
Lattice="4.1258 0.0000 0.0000 0.0000 4.1258 0.0000 -2.0629 -2.0629 6.2743" Properties=species:S:1:pos:R:3 pbc="T T T"
O 0.0000 2.0629 0.0636
Ac 2.0629 2.0629 1.7316
Sr 0.0000 0.0000 4.5283
Pd 2.0629 2.0629 6.2213
O 0.0000 0.0000 2.0914
O 2.0629 2.0629 4.1232
O 2.0629 0.0000 0.0636
```


4.
This record from Alexandria via LeMat-Bulk describes a relaxed structure of CoSeBr2. The functional is PBE.

Final energy: -0.098 Ha/atom
Symmetry: F-43m (216)
Uncorrected formation energy: 0.811 eV/atom

```
4
Lattice="4.9110 0.0263 0.0000 -0.0302 4.9110 0.0000 -2.4404 -2.4686 3.4740" Properties=species:S:1:pos:R:3 pbc="T T T"
Co 2.4404 2.4686 0.0000
Se 2.4555 0.0131 1.7370
Br -0.0151 2.4555 1.7370
Br 0.0000 0.0000 0.0000
```


5.
This record from Alexandria via LeMat-Bulk describes a relaxed structure of Ba3La4Te8. The functional is PBE.

Final energy: -0.183 Ha/atom
Symmetry: C2/m (12)
Uncorrected formation energy: -1.616 eV/atom

```
15
Lattice="-1.0466 5.4612 -7.5879 8.0344 -4.9444 1.1333 -5.0634 -8.0065 0.7360" Properties=species:S:1:pos:R:3 pbc="T T T"
Te 1.7435 -7.1322 -2.5088
La 4.0172 -2.4722 0.5667
Te -0.3216 2.2873 -7.0272
Ba -3.0550 -1.2727 -3.4260
Te -2.4065 -4.5324 -2.9615
Ba 3.4939 0.2584 -3.2273
Te 0.1810 -0.3575 -3.2098
Te -1.8751 -7.2611 0.8327
La 0.0000 0.0000 0.0000
La -0.5233 2.7306 -3.7940
La -2.5317 -4.0033 0.3680
Te 2.2460 -9.7770 1.3086
Te 4.8462 -5.6898 1.0366
Te 4.3310 -2.9573 -2.7571
Ba 0.9622 -3.7449 -2.8593
```


6.
This record from Alexandria via LeMat-Bulk describes a relaxed structure of Na2CdTeH. The functional is PBE.

Final energy: -0.087 Ha/atom
Symmetry: P4/mmm (123)

```
5
Lattice="4.9234 0.0000 0.0000 0.0000 4.9234 0.0000 0.0000 0.0000 4.4258" Properties=species:S:1:pos:R:3 pbc="T T T"
Na 2.4617 0.0000 0.0000
Cd 0.0000 0.0000 2.2129
Te 2.4617 2.4617 2.2129
Na 0.0000 2.4617 0.0000
H 0.0000 0.0000 0.0000
```


7.
This record from Alexandria via LeMat-Bulk describes a relaxed structure of Nd3TmGa4. The functional is PBE.

Polymorph energy (0 for the lowest one): 3.065 kcal/mol of atoms
Final energy: -0.158 Ha/atom
Energy relative to the elements: -0.4318 eV/atom
Symmetry: Immm (71)

```
8
Lattice="-1.7624 -2.9146 1.6092 5.6826 -1.5611 3.3961 -4.3962 7.2300 3.8714" Properties=species:S:1:pos:R:3 pbc="T T T"
Ga 0.2373 -0.6653 3.4641
Nd 2.8413 -0.7806 1.6981
Ga 2.4441 -1.2723 4.7816
Tm -0.8812 -1.4573 0.8046
Nd 0.5091 0.7365 6.3008
Ga -2.9201 4.0266 4.0951
Ga -0.7133 3.4196 5.4126
Nd -0.9851 2.0178 2.5758
```


8.
This record from Alexandria via LeMat-Bulk describes a relaxed structure of Ac3DySb4. The functional is PBE.

Final energy: -0.196 Ha/atom
Symmetry: Cmmm (65)
Uncorrected formation energy: -1.163 eV/atom

```
8
Lattice="4.7068 0.0000 0.0000 0.0000 8.1384 -0.0750 0.0000 -2.6370 7.6997" Properties=species:S:1:pos:R:3 pbc="T T T"
Ac 0.0000 4.0692 -0.0375
Sb 2.3534 5.5322 1.8055
Ac 0.0000 -1.3185 3.8499
Sb 0.0000 4.2099 5.8348
Ac 2.3534 2.7507 3.8124
Sb 2.3534 -0.0307 5.8193
Dy 2.3534 0.0000 0.0000
Sb 0.0000 1.2915 1.7900
```


Per-record calculated density, g/cm3: 4.6; 7.8; 7.5; 5.9; 5.4; 4.4; 6.7; 7.5